Li2Pd5Pt: optimized geometry, GGA-PBE.

Properties
Uncorrected energy = -4.77 eV/atom
Size of the total moment = 0.000 μB/atom
Space-group type = No. 8
Energy relative to the lowest polymorph listed for this composition = 0.000 eV/atom
Calculated density = 10.3 g/cm³

Unit cell a=5.392 b=5.392 c=5.392 alpha=105.78 beta=105.78 gamma=117.13
Element x y z (fractional)
Pd1 0.278 0.278 0.500
Pd2 0.778 0.278 0.000
Pd3 0.778 0.778 0.500
Pd4 0.278 0.778 0.000
Pd5 0.278 0.278 0.000
Li1 0.778 0.278 0.500
Li2 0.278 0.778 0.500
Pt1 0.778 0.777 0.000


Li5Pd2Pt: optimized geometry, GGA-PBE.

Properties
Uncorrected energy = -3.68 eV/atom
Size of the total moment = 0.000 μB/atom
Space-group type = No. 139
Energy relative to the lowest polymorph listed for this composition = 0.000 eV/atom
Calculated density = 6.8 g/cm³

Unit cell a=5.195 b=5.194 c=5.194 alpha=109.55 beta=109.56 gamma=109.31
Element x y z (fractional)
Pd1 0.278 0.778 0.500
Pd2 0.778 0.278 0.500
Li1 0.778 0.778 0.500
Li2 0.778 0.278 0.000
Li3 0.278 0.278 0.000
Li4 0.278 0.278 0.500
Li5 0.278 0.778 0.000
Pt1 0.778 0.778 0.000


LiPd2Pt2: optimized geometry, GGA-PBE.

Properties
Uncorrected energy = -4.97 eV/atom
Size of the total moment = 0.000 μB/atom
Space-group type = No. 127
Energy relative to the lowest polymorph listed for this composition = 0.166 eV/atom
Calculated density = 12.0 g/cm³

Unit cell a=7.814 b=7.814 c=2.759 alpha=90.00 beta=90.00 gamma=90.00
Element x y z (fractional)
Pd1 0.627 0.127 0.000
Pd2 0.873 0.627 0.000
Pd3 0.373 0.873 0.000
Pd4 0.127 0.373 0.000
Li1 0.000 0.000 0.000
Li2 0.500 0.500 0.000
Pt1 0.327 0.173 0.500
Pt2 0.173 0.673 0.500
Pt3 0.673 0.827 0.500
Pt4 0.827 0.327 0.500


Li4PdPt: optimized geometry, GGA-PBE.

Properties
Uncorrected energy = -3.57 eV/atom
Size of the total moment = 0.000 μB/atom
Space-group type = No. 123
Energy relative to the lowest polymorph listed for this composition = 0.036 eV/atom
Calculated density = 6.5 g/cm³

Unit cell a=3.053 b=3.053 c=8.970 alpha=90.00 beta=90.00 gamma=90.00
Element x y z (fractional)
Pd1 0.500 0.500 0.500
Li1 0.000 0.000 0.659
Li2 0.500 0.500 0.846
Li3 0.500 0.500 0.154
Li4 0.000 0.000 0.341
Pt1 0.000 0.000 0.000


Li8Pd5Pt: optimized geometry, GGA-PBE.

Properties
Uncorrected energy = -3.64 eV/atom
Size of the total moment = 0.000 μB/atom
Space-group type = No. 82
Calculated density = 6.3 g/cm³

Unit cell a=6.470 b=6.470 c=6.470 alpha=107.55 beta=113.38 gamma=107.55
Element x y z (fractional)
Li1 0.518 0.628 0.224
Li2 0.567 0.924 0.916
Li3 0.991 0.076 0.642
Li4 0.358 0.349 0.433
Li5 0.776 0.294 0.404
Li6 0.084 0.651 0.009
Li7 0.110 0.706 0.482
Li8 0.596 0.372 0.890
Pd1 0.967 0.261 0.024
Pd2 0.763 0.739 0.706
Pd3 0.976 0.943 0.237
Pd4 0.294 0.057 0.033
Pd5 0.500 0.000 0.500
Pt1 0.250 0.500 0.750


LiPd8Pt6: optimized geometry, GGA-PBE.

Properties
Uncorrected energy = -5.23 eV/atom
Size of the total moment = 0.000 μB/atom
Space-group type = No. 147
Energy relative to the lowest polymorph listed for this composition = 0.000 eV/atom
Calculated density = 13.6 g/cm³

Unit cell a=2.716 b=10.250 c=10.250 alpha=120.00 beta=90.00 gamma=90.00
Element x y z (fractional)
Pd1 0.758 0.192 0.274
Pd2 0.752 0.667 0.333
Pd3 0.758 0.081 0.808
Pd4 0.758 0.726 0.919
Pd5 0.248 0.333 0.667
Pd6 0.242 0.274 0.081
Pd7 0.242 0.919 0.192
Pd8 0.242 0.808 0.726
Li1 0.500 0.000 0.000
Pt1 0.748 0.085 0.458
Pt2 0.748 0.542 0.627
Pt3 0.252 0.915 0.542
Pt4 0.252 0.458 0.373
Pt5 0.252 0.627 0.085
Pt6 0.748 0.373 0.915


Li4PdPt2: optimized geometry, GGA-PBE.

Properties
Uncorrected energy = -3.99 eV/atom
Size of the total moment = 0.000 μB/atom
Space-group type = No. 139
Calculated density = 8.4 g/cm³

Unit cell a=5.784 b=5.133 c=5.133 alpha=71.53 beta=55.71 gamma=55.71
Element x y z (fractional)
Pd1 0.000 0.000 0.000
Li1 0.500 0.000 0.500
Li2 0.000 0.500 0.000
Li3 0.500 0.500 0.000
Li4 0.000 0.000 0.500
Pt1 0.500 0.500 0.500
Pt2 0.000 0.500 0.500


Li2PdPt: optimized geometry, GGA-PBE.

Properties
Uncorrected energy = -4.25 eV/atom
Size of the total moment = 0.000 μB/atom
Space-group type = No. 65
Calculated density = 9.3 g/cm³

Unit cell a=2.726 b=2.726 c=8.435 alpha=90.00 beta=90.00 gamma=115.56
Element x y z (fractional)
Pt1 0.500 0.500 0.250
Pd1 0.500 0.500 0.750
Li1 0.000 0.000 0.501
Li2 0.000 0.000 0.999


Li4Pd3Pt: optimized geometry, GGA-PBE.

Properties
Uncorrected energy = -4.10 eV/atom
Size of the total moment = 0.000 μB/atom
Space-group type = No. 123
Calculated density = 8.5 g/cm³

Unit cell a=2.986 b=2.986 c=11.872 alpha=90.00 beta=90.00 gamma=90.00
Element x y z (fractional)
Pt1 0.500 0.500 0.000
Li1 0.000 0.000 0.878
Li2 0.000 0.000 0.375
Li3 0.000 0.000 0.625
Li4 0.000 0.000 0.122
Pd1 0.500 0.500 0.250
Pd2 0.500 0.500 0.750
Pd3 0.500 0.500 0.500


Li6PdPt2: optimized geometry, GGA-PBE.

Properties
Uncorrected energy = -3.55 eV/atom
Size of the total moment = 0.000 μB/atom
Space-group type = No. 12
Energy relative to the lowest polymorph listed for this composition = 0.133 eV/atom
Calculated density = 7.1 g/cm³

Unit cell a=4.237 b=6.677 c=6.677 alpha=45.44 beta=71.77 gamma=71.77
Element x y z (fractional)
Pt1 0.118 0.382 0.382
Pt2 0.882 0.618 0.618
Li1 0.214 0.784 0.784
Li2 0.610 0.125 0.654
Li3 0.610 0.654 0.125
Li4 0.786 0.216 0.216
Li5 0.390 0.875 0.346
Li6 0.390 0.346 0.875
Pd1 0.000 0.000 0.000


LiPd4Pt: optimized geometry, GGA-PBE.

Properties
Uncorrected energy = -4.97 eV/atom
Size of the total moment = 0.000 μB/atom
Space-group type = No. 2
Energy relative to the lowest polymorph listed for this composition = 0.000 eV/atom
Calculated density = 11.6 g/cm³

Unit cell a=7.688 b=6.224 c=4.816 alpha=105.28 beta=113.66 gamma=107.93
Element x y z (fractional)
Pd1 0.037 0.908 0.246
Pd2 0.124 0.749 0.749
Pd3 0.379 0.260 0.252
Pd4 0.963 0.092 0.754
Pd5 0.621 0.740 0.748
Pd6 0.544 0.917 0.253
Pd7 0.876 0.251 0.251
Pd8 0.456 0.083 0.747
Pt1 0.791 0.418 0.752
Pt2 0.209 0.582 0.248
Li1 0.286 0.415 0.741
Li2 0.714 0.585 0.259


Li2Pd5Pt: optimized geometry, GGA-PBE.

Properties
Uncorrected energy = -4.65 eV/atom
Size of the total moment = 0.000 μB/atom
Space-group type = No. 63
Energy relative to the lowest polymorph listed for this composition = 0.119 eV/atom
Calculated density = 10.3 g/cm³

Unit cell a=4.165 b=5.035 c=12.499 alpha=90.00 beta=90.00 gamma=114.43
Element x y z (fractional)
Pd1 0.535 0.069 0.250
Pd2 0.939 0.878 0.596
Pd3 0.365 0.729 0.455
Pd4 0.465 0.931 0.750
Pd5 0.061 0.122 0.096
Pd6 0.365 0.729 0.045
Pd7 0.939 0.878 0.904
Pd8 0.061 0.122 0.404
Pd9 0.635 0.271 0.955
Pd10 0.635 0.271 0.545
Li1 0.224 0.449 0.635
Li2 0.776 0.551 0.135
Li3 0.776 0.551 0.365
Li4 0.224 0.449 0.865
Pt1 0.253 0.505 0.250
Pt2 0.747 0.495 0.750


Li3PdPt: optimized geometry, GGA-PBE.

Properties
Uncorrected energy = -3.70 eV/atom
Size of the total moment = 0.000 μB/atom
Space-group type = No. 63
Energy relative to the lowest polymorph listed for this composition = 0.003 eV/atom
Calculated density = 6.6 g/cm³

Unit cell a=2.662 b=7.212 c=8.554 alpha=90.00 beta=90.00 gamma=100.64
Element x y z (fractional)
Li1 0.927 0.853 0.250
Li2 0.658 0.316 0.447
Li3 0.342 0.684 0.947
Li4 0.658 0.316 0.053
Li5 0.342 0.684 0.553
Li6 0.073 0.147 0.750
Pt1 0.270 0.539 0.250
Pt2 0.730 0.461 0.750
Pd1 0.000 0.000 0.500
Pd2 0.000 0.000 0.000


Li2Pd8Pt: optimized geometry, GGA-PBE.

Properties
Uncorrected energy = -4.71 eV/atom
Size of the total moment = 0.000 μB/atom
Space-group type = No. 65
Energy relative to the lowest polymorph listed for this composition = 0.000 eV/atom
Calculated density = 10.5 g/cm³

Unit cell a=4.049 b=6.539 c=6.539 alpha=105.17 beta=90.02 gamma=90.02
Element x y z (fractional)
Pt1 0.500 0.000 0.000
Pd1 0.000 0.043 0.312
Pd2 0.500 0.741 0.259
Pd3 0.500 0.666 0.666
Pd4 0.500 0.259 0.741
Pd5 0.500 0.334 0.334
Pd6 0.000 0.688 0.957
Pd7 0.000 0.312 0.043
Pd8 0.000 0.957 0.688
Li1 0.000 0.383 0.617
Li2 0.000 0.617 0.383


Li7Pd2Pt: optimized geometry, GGA-PBE.

Properties
Uncorrected energy = -2.76 eV/atom
Size of the total moment = 0.000 μB/atom
Space-group type = No. 225
Energy relative to the lowest polymorph listed for this composition = 0.520 eV/atom
Calculated density = 4.1 g/cm³

Unit cell a=6.389 b=6.389 c=6.389 alpha=60.00 beta=60.00 gamma=60.00
Element x y z (fractional)
Pd1 0.750 0.750 0.750
Pd2 0.250 0.250 0.250
Li1 0.500 0.500 0.500
Li2 0.752 0.248 0.248
Li3 0.248 0.248 0.752
Li4 0.752 0.752 0.248
Li5 0.248 0.752 0.248
Li6 0.248 0.752 0.752
Li7 0.752 0.248 0.752
Pt1 0.000 0.000 0.000


LiPdPt2: optimized geometry, GGA-PBE.

Properties
Uncorrected energy = -5.11 eV/atom
Size of the total moment = 0.000 μB/atom
Space-group type = No. 139
Calculated density = 14.2 g/cm³

Unit cell a=3.853 b=3.853 c=4.814 alpha=113.61 beta=113.61 gamma=89.97
Element x y z (fractional)
Pt1 0.250 0.750 0.500
Pt2 0.750 0.250 0.500
Pd1 0.000 0.000 0.000
Li1 0.500 0.500 0.000


Li8PdPt2: optimized geometry, GGA-PBE.

Properties
Uncorrected energy = -3.33 eV/atom
Size of the total moment = 0.000 μB/atom
Space-group type = No. 65
Energy relative to the lowest polymorph listed for this composition = 0.018 eV/atom
Calculated density = 5.3 g/cm³

Unit cell a=4.241 b=7.814 c=6.507 alpha=53.10 beta=89.97 gamma=89.94
Element x y z (fractional)
Pt1 0.000 0.627 0.747
Pt2 0.000 0.373 0.253
Li1 0.500 0.753 0.495
Li2 0.500 0.247 0.505
Li3 0.001 0.695 0.271
Li4 0.501 0.662 0.000
Li5 0.999 0.305 0.729
Li6 0.999 0.034 0.271
Li7 0.499 0.338 0.000
Li8 0.001 0.966 0.729
Pd1 0.500 0.000 0.000


LiPdPt2: optimized geometry, GGA-PBE.

Properties
Uncorrected energy = -5.16 eV/atom
Size of the total moment = 0.000 μB/atom
Space-group type = No. 123
Calculated density = 14.3 g/cm³

Unit cell a=3.926 b=3.863 c=3.863 alpha=90.00 beta=90.00 gamma=90.00
Element x y z (fractional)
Pt1 0.000 0.000 0.500
Pt2 0.000 0.500 0.000
Pd1 0.500 0.500 0.500
Li1 0.500 0.000 0.000


Li3PdPt2: optimized geometry, GGA-PBE.

Properties
Uncorrected energy = -4.39 eV/atom
Size of the total moment = 0.000 μB/atom
Space-group type = No. 167
Calculated density = 10.2 g/cm³

Unit cell a=4.791 b=4.791 c=8.885 alpha=74.36 beta=74.36 gamma=60.00
Element x y z (fractional)
Pd1 0.000 0.000 0.000
Pd2 0.500 0.500 0.500
Li1 0.750 0.081 0.750
Li2 0.581 0.250 0.250
Li3 0.081 0.419 0.750
Li4 0.419 0.750 0.750
Li5 0.919 0.581 0.250
Li6 0.250 0.919 0.250
Pt1 0.666 0.666 0.001
Pt2 0.334 0.334 0.999
Pt3 0.834 0.834 0.499
Pt4 0.166 0.166 0.501


Li7Pd4Pt: optimized geometry, GGA-PBE.

Properties
Uncorrected energy = -3.60 eV/atom
Size of the total moment = 0.000 μB/atom
Space-group type = No. 12
Calculated density = 6.4 g/cm³

Unit cell a=4.537 b=8.785 c=5.038 alpha=83.80 beta=63.24 gamma=75.04
Element x y z (fractional)
Pd1 0.704 0.706 0.886
Pd2 0.353 0.778 0.515
Pd3 0.647 0.222 0.485
Pd4 0.296 0.294 0.114
Pt1 0.000 0.000 0.000
Li1 0.355 0.520 0.770
Li2 0.955 0.308 0.783
Li3 0.225 0.073 0.478
Li4 0.775 0.927 0.522
Li5 0.045 0.692 0.217
Li6 0.500 0.000 0.000
Li7 0.645 0.480 0.230